This record from Alexandria via LeMat-Bulk describes an optimized crystal structure of PrGeAs2. The functional is PBE-GGA.

Calculated values
Energy relative to the elements: -0.143 eV/atom
VASP energy: -4.817 eV/atom
Fermi-level density of states: 0.896 states/eV/atom
Calculated volume: 139 Å³/cell
Total moment: 0.00 μB/cell

a b c (Å): 4.615 4.615 7.982
angles (deg): 73.20 73.20 60.00
Atoms (fractional coordinates):
Pr: 0.500 0.500 0.500
As: 0.103 0.103 0.690
As: 0.897 0.897 0.310
Ge: 0.000 0.000 0.000

This record from Alexandria via LeMat-Bulk describes an optimized crystal structure of CeHo4Pu3Se8. The functional is PBE-GGA.

Calculated values
VASP energy: -7.636 eV/atom
E_form (uncorrected): -1691 meV/atom
Fermi-level density of states: 1.900 states/eV/atom
Calculated volume: 393 Å³/cell
Total moment: 18.77 μB/cell

a b c (Å): 8.160 8.278 8.161
angles (deg): 119.53 120.00 90.00
Atoms (fractional coordinates):
Ce: 0.000 0.500 0.000
Ho: 0.500 0.000 0.000
Ho: 0.500 0.000 0.500
Ho: 0.000 0.000 0.000
Ho: 0.000 0.000 0.500
Pu: 0.500 0.500 0.000
Pu: 0.500 0.500 0.500
Pu: 0.000 0.500 0.500
Se: 0.254 0.760 0.005
Se: 0.254 0.760 0.509
Se: 0.248 0.243 0.495
Se: 0.751 0.760 0.005
Se: 0.249 0.240 0.995
Se: 0.752 0.757 0.505
Se: 0.746 0.240 0.491
Se: 0.746 0.240 0.995

This record from Alexandria via LeMat-Bulk describes an optimized crystal structure of YPtPb3. The functional is PBE-GGA.

Calculated values
Energy relative to the elements: 1.004 eV/atom
VASP energy: -3.722 eV/atom
Fermi-level density of states: 0.851 states/eV/atom
Calculated volume: 192 Å³/cell
Distance to the lowest polymorph of the same formula: 0.878 eV/atom
Total moment: 0.00 μB/cell

a b c (Å): 5.765 5.765 5.765
angles (deg): 90.00 90.00 90.00
Atoms (fractional coordinates):
Pb: 0.000 0.500 0.000
Pb: 0.000 0.000 0.500
Pb: 0.500 0.000 0.000
Y: 0.000 0.000 0.000
Pt: 0.500 0.500 0.500

This record from Alexandria via LeMat-Bulk describes an optimized crystal structure of KSm4Se5. The functional is PBE-GGA.

Calculated values
VASP energy: -5.507 eV/atom
E_form (uncorrected): -1768 meV/atom
Fermi-level density of states: 0.383 states/eV/atom
Calculated volume: 270 Å³/cell
Total moment: 0.00 μB/cell

a b c (Å): 4.192 7.410 9.499
angles (deg): 75.44 77.25 73.57
Atoms (fractional coordinates):
K: 0.000 0.000 0.000
Sm: 0.594 0.215 0.598
Sm: 0.199 0.390 0.211
Sm: 0.801 0.610 0.789
Sm: 0.406 0.785 0.402
Se: 0.202 0.908 0.688
Se: 0.798 0.092 0.312
Se: 0.388 0.329 0.895
Se: 0.000 0.500 0.500
Se: 0.612 0.671 0.105

Copy entry 1 word for word.
This record from Alexandria via LeMat-Bulk describes an optimized crystal structure of PrGeAs2. The functional is PBE-GGA.

Calculated values
Energy relative to the elements: -0.143 eV/atom
VASP energy: -4.817 eV/atom
Fermi-level density of states: 0.896 states/eV/atom
Calculated volume: 139 Å³/cell
Total moment: 0.00 μB/cell

a b c (Å): 4.615 4.615 7.982
angles (deg): 73.20 73.20 60.00
Atoms (fractional coordinates):
Pr: 0.500 0.500 0.500
As: 0.103 0.103 0.690
As: 0.897 0.897 0.310
Ge: 0.000 0.000 0.000

- total moment of number 2 (CeHo4Pu3Se8)?
  18.77 μB/cell

What did the second record say?
This record from Alexandria via LeMat-Bulk describes an optimized crystal structure of CeHo4Pu3Se8. The functional is PBE-GGA.

Calculated values
VASP energy: -7.636 eV/atom
E_form (uncorrected): -1691 meV/atom
Fermi-level density of states: 1.900 states/eV/atom
Calculated volume: 393 Å³/cell
Total moment: 18.77 μB/cell

a b c (Å): 8.160 8.278 8.161
angles (deg): 119.53 120.00 90.00
Atoms (fractional coordinates):
Ce: 0.000 0.500 0.000
Ho: 0.500 0.000 0.000
Ho: 0.500 0.000 0.500
Ho: 0.000 0.000 0.000
Ho: 0.000 0.000 0.500
Pu: 0.500 0.500 0.000
Pu: 0.500 0.500 0.500
Pu: 0.000 0.500 0.500
Se: 0.254 0.760 0.005
Se: 0.254 0.760 0.509
Se: 0.248 0.243 0.495
Se: 0.751 0.760 0.005
Se: 0.249 0.240 0.995
Se: 0.752 0.757 0.505
Se: 0.746 0.240 0.491
Se: 0.746 0.240 0.995